Entry 1:
A plane-wave DFT calculation with PBE was carried out for crystalline Na2GaPRh at its relaxed geometry.

Calculated values
Crystal system: tetragonal
E (eV per cell): -18.2

abc: 5.4083 5.4083 4.3665
angles: 90.00 90.00 90.00
Space group P4/mmm (No. 123)
Asymmetric unit:
Na: 0.0000 0.5000 0.0000 x2
Ga: 0.0000 0.0000 0.5000 x1
P: 0.5000 0.5000 0.5000 x1
Rh: 0.5000 0.5000 0.0000 x1



Entry 2:
A plane-wave DFT calculation with PBE was carried out for crystalline Ac5Pm3 at its relaxed geometry.

Calculated values
Crystal system: tetragonal
E (eV per cell): -34.5

abc: 3.9035 3.9035 21.4532
angles: 90.00 90.00 90.00
Space group P4/mmm (No. 123)
Asymmetric unit:
Ac: 0.0000 0.0000 0.0000 x1
Ac: 0.0000 0.0000 0.2434 x2
Ac: 0.5000 0.5000 0.3780 x2
Pm: 0.0000 0.0000 0.5000 x1
Pm: 0.5000 0.5000 0.1207 x2



Entry 3:
A plane-wave DFT calculation with PBE was carried out for crystalline MgTl2SeCl at its relaxed geometry.

Calculated values
Formation energy (no corrections) (eV/atom): -0.147
Crystal system: tetragonal

abc: 5.9105 5.9105 4.9257
angles: 90.00 90.00 90.00
Space group P4/mmm (No. 123)
Asymmetric unit:
Mg: 0.0000 0.0000 0.0000 x1
Tl: 0.0000 0.5000 0.5000 x2
Se: 0.5000 0.5000 0.0000 x1
Cl: 0.0000 0.0000 0.5000 x1



Entry 4:
A plane-wave DFT calculation with PBE was carried out for crystalline Nb2GeAs2 at its relaxed geometry.

Calculated values
E above lowest polymorph (meV per atom): 0
Crystal system: tetragonal

abc: 7.2522 7.2522 3.3962
angles: 90.00 90.00 90.00
Space group P4/mbm (No. 127)
Asymmetric unit:
Nb: 0.1518 0.3482 0.0000 x4
Ge: 0.0000 0.0000 0.0000 x2
As: 0.1413 0.6413 0.5000 x4



Entry 5:
A plane-wave DFT calculation with PBE was carried out for crystalline SrTmTeSe at its relaxed geometry.

Calculated values
Formation energy (no corrections) (eV/atom): -1.571
Crystal system: trigonal

abc: 4.2045 4.2045 23.0258
angles: 90.00 90.00 120.00
Space group R3m (No. 160, hexagonal axes)
Asymmetric unit:
Sr: 0.0000 0.0000 0.0000 x3
Tm: 0.0000 0.0000 0.1828 x3
Te: 0.0000 0.0000 0.4323 x3
Se: 0.0000 0.0000 0.5868 x3



Entry 6:
A plane-wave DFT calculation with PBE was carried out for crystalline K3SmU2Se6 at its relaxed geometry.

Calculated values
Formation energy (no corrections) (eV/atom): -1.400
Crystal system: monoclinic

abc: 7.3524 12.7354 8.1124
angles: 90.00 107.59 90.00
Space group C2/m (No. 12)
Asymmetric unit:
K: 0.0000 0.0000 0.0000 x2
K: 0.0000 0.3348 0.0000 x4
Sm: 0.0000 0.5000 0.5000 x2
U: 0.0000 0.1669 0.5000 x4
Se: 0.2319 0.0000 0.7086 x4
Se: 0.2385 0.3312 0.7090 x8



Entry 7:
A plane-wave DFT calculation with PBE was carried out for crystalline CuPdRh at its relaxed geometry.

Calculated values
E above lowest polymorph (meV per atom): 0
Crystal system: tetragonal

abc: 2.7405 2.7405 11.1677
angles: 90.00 90.00 90.00
Space group P4/nmm (No. 129, origin choice 2)
Asymmetric unit:
Cu: 0.2500 0.2500 0.2449 x2
Pd: 0.2500 0.2500 0.5924 x2
Rh: 0.2500 0.2500 0.9184 x2



Entry 8:
A plane-wave DFT calculation with PBE was carried out for crystalline Er2MgN at its relaxed geometry.

Calculated values
Formation energy (no corrections) (eV/atom): -0.847
Crystal system: trigonal

abc: 3.4479 3.4479 24.6556
angles: 90.00 90.00 120.00
Space group R-3m (No. 166, hexagonal axes)
Asymmetric unit:
Er: 0.0000 0.0000 0.2206 x6
Mg: 0.0000 0.0000 0.0000 x3
N: 0.0000 0.0000 0.5000 x3



Entry 9:
A plane-wave DFT calculation with PBE was carried out for crystalline BeInRe2 at its relaxed geometry.

Calculated values
E above lowest polymorph (meV per atom): 417
Crystal system: orthorhombic

abc: 3.1127 4.4506 8.5063
angles: 90.00 90.00 90.00
Space group Imm2 (No. 44)
Asymmetric unit:
Be: 0.0000 0.0000 0.0000 x2
In: 0.0000 0.5000 0.7476 x2
Re: 0.0000 0.0000 0.5241 x2
Re: 0.0000 0.5000 0.2835 x2